Version one
LiFe2P3O12 | PBE+U | relaxed

Total moment in μB/cell: 24.294
ρ in g/cm³: 2.780

abc: 8.5341 8.5720 9.0204
angles: 90.10 117.99 119.69
Space group P-1 (No. 2)
Inequivalent atoms, fractional coordinates:
Li (0.1033, 0.4271, 0.3506) x2
Fe (0.2144, 0.8564, 0.5602) x2
Fe (0.2165, 0.3485, 0.0699) x2
P (0.0056, 0.9624, 0.7509) x2
P (0.2803, 0.7500, 0.2481) x2
P (0.2826, 0.5332, 0.7446) x2
O (0.0897, 0.7271, 0.0777) x2
O (0.1135, 0.3637, 0.5707) x2
O (0.1219, 0.1082, 0.9266) x2
O (0.1236, 0.2397, 0.2418) x2
O (0.1496, 0.0025, 0.3984) x2
O (0.1689, 0.9805, 0.7099) x2
O (0.2178, 0.6771, 0.7120) x2
O (0.2251, 0.7111, 0.3920) x2
O (0.2771, 0.4739, 0.9020) x2
O (0.3067, 0.5929, 0.2082) x2
O (0.4780, 0.9481, 0.3078) x2
O (0.4973, 0.3848, 0.2293) x2



Version two
LiFe2P3O12 | PBE+U | relaxed

Total moment in μB/cell: 48.535
ρ in g/cm³: 2.851

abc: 8.6844 8.8184 15.0249
angles: 90.00 125.21 90.00
Space group P2_1/c (No. 14)
Inequivalent atoms, fractional coordinates:
Li (0.0131, 0.2251, 0.3153) x4
Fe (0.1396, 0.5396, 0.3887) x4
Fe (0.3671, 0.5293, 0.1191) x4
P (0.0323, 0.1033, 0.6462) x4
P (0.2528, 0.6132, 0.6459) x4
P (0.4549, 0.2503, 0.4917) x4
O (0.0016, 0.2392, 0.1784) x4
O (0.0749, 0.5151, 0.2339) x4
O (0.0946, 0.5868, 0.6628) x4
O (0.1465, 0.5504, 0.9626) x4
O (0.1842, 0.5675, 0.5300) x4
O (0.1936, 0.1088, 0.6311) x4
O (0.2599, 0.1711, 0.9233) x4
O (0.2964, 0.7152, 0.1630) x4
O (0.3845, 0.6357, 0.4429) x4
O (0.4280, 0.5193, 0.7282) x4
O (0.4590, 0.1400, 0.5721) x4
O (0.4766, 0.1600, 0.4115) x4



Least stable structure: version one



Version one
LiFe3SiPO8 | PBE+U | relaxed

Total moment in μB/cell: 24.004
ρ in g/cm³: 3.850

abc: 4.8307 6.1289 10.5330
angles: 90.00 90.47 90.00
Space group P2_1/m (No. 11)
Inequivalent atoms, fractional coordinates:
Li (0.0000, 0.0000, 0.0000) x2
Fe (0.0288, 0.2500, 0.7250) x2
Fe (0.4912, 0.2500, 0.2146) x2
Fe (0.5000, 0.0000, 0.5000) x2
Si (0.0712, 0.7500, 0.5975) x2
P (0.4166, 0.7500, 0.0940) x2
O (0.2052, 0.7500, 0.4520) x2
O (0.2160, 0.5370, 0.6673) x4
O (0.2647, 0.2500, 0.9068) x2
O (0.2681, 0.2500, 0.4042) x2
O (0.2868, 0.7500, 0.9579) x2
O (0.2891, 0.5471, 0.1641) x4



Version two
LiFe3SiPO8 | PBE+U | relaxed

Total moment in μB/cell: 24.003
ρ in g/cm³: 3.637

abc: 5.5583 7.1274 9.9019
angles: 90.00 122.68 90.00
Space group Pc (No. 7)
Inequivalent atoms, fractional coordinates:
Li (0.0000, 0.1986, 0.0000) x2
Fe (0.2941, 0.0545, 0.8037) x2
Fe (0.3260, 0.3435, 0.5556) x2
Fe (0.6049, 0.4257, 0.3649) x2
Si (0.0301, 0.4889, 0.7547) x2
P (0.6707, 0.0507, 0.1694) x2
O (0.0161, 0.4572, 0.9179) x2
O (0.1894, 0.3034, 0.2847) x2
O (0.2776, 0.3523, 0.7558) x2
O (0.3917, 0.0623, 0.6242) x2
O (0.6380, 0.2404, 0.2271) x2
O (0.6857, 0.0635, 0.0170) x2
O (0.7173, 0.4362, 0.5946) x2
O (0.9325, 0.0613, 0.8007) x2



Least stable structure: version two



Version one
Li5Fe3Sb2O10 | PBE+U | relaxed

Total moment in μB/cell: 23.973
ρ in g/cm³: 4.709

abc: 5.4118 8.3554 10.5866
angles: 109.90 99.23 101.57
Space group P1 (No. 1)
Inequivalent atoms, fractional coordinates:
Li (0.0000, 0.0000, 0.0000) x1
Li (0.0039, 0.9803, 0.5024) x1
Li (0.0621, 0.6636, 0.1049) x1
Li (0.0724, 0.6642, 0.6071) x1
Li (0.1658, 0.3696, 0.6989) x1
Li (0.1805, 0.3730, 0.2043) x1
Li (0.3008, 0.7521, 0.8985) x1
Li (0.3687, 0.7673, 0.4083) x1
Li (0.7246, 0.5557, 0.7894) x1
Li (0.8175, 0.5861, 0.3119) x1
Fe (0.2635, 0.0577, 0.2943) x1
Fe (0.2818, 0.0666, 0.7959) x1
Fe (0.5726, 0.1622, 0.5928) x1
Fe (0.5834, 0.1795, 0.1046) x1
Fe (0.8744, 0.2734, 0.3971) x1
Fe (0.8801, 0.2876, 0.9043) x1
Sb (0.4615, 0.4638, 0.4948) x1
Sb (0.4657, 0.4727, 0.0022) x1
Sb (0.6764, 0.8696, 0.1986) x1
Sb (0.6888, 0.8810, 0.7135) x1
O (0.0523, 0.8494, 0.8082) x1
O (0.1364, 0.4973, 0.3944) x1
O (0.1402, 0.5107, 0.9101) x1
O (0.2339, 0.2267, 0.4845) x1
O (0.2501, 0.2558, 0.0161) x1
O (0.3363, 0.9437, 0.5908) x1
O (0.3635, 0.9269, 0.1102) x1
O (0.3859, 0.5757, 0.6766) x1
O (0.4327, 0.6404, 0.1912) x1
O (0.5139, 0.3300, 0.8162) x1
O (0.5196, 0.3179, 0.3065) x1
O (0.6398, 0.0174, 0.3853) x1
O (0.6618, 0.0639, 0.9159) x1
O (0.6882, 0.7036, 0.0036) x1
O (0.6984, 0.6803, 0.4932) x1
O (0.7707, 0.4029, 0.5893) x1
O (0.7860, 0.4345, 0.0998) x1
O (0.9042, 0.0867, 0.1885) x1
O (0.9137, 0.1077, 0.6963) x1
O (0.9925, 0.8237, 0.2879) x1



Version two
Li5Fe3Sb2O10 | PBE+U | relaxed

Total moment in μB/cell: 11.636
ρ in g/cm³: 4.751

abc: 5.3447 5.4108 8.1947
angles: 102.66 108.59 99.74
Space group P-1 (No. 2)
Inequivalent atoms, fractional coordinates:
Li (0.0000, 0.0000, 0.0000) x1
Li (0.2017, 0.1207, 0.7134) x2
Li (0.3836, 0.7429, 0.8916) x2
Fe (0.0000, 0.5000, 0.5000) x1
Fe (0.3988, 0.1930, 0.3930) x2
Sb (0.2210, 0.6036, 0.1987) x2
O (0.0288, 0.2806, 0.2624) x2
O (0.1638, 0.3545, 0.9493) x2
O (0.2093, 0.8329, 0.4353) x2
O (0.4062, 0.9294, 0.1533) x2
O (0.4094, 0.4533, 0.6604) x2



Version three
Li5Fe3Sb2O10 | PBE+U | relaxed

Total moment in μB/cell: 10.968
ρ in g/cm³: 3.806

abc: 5.4363 6.2242 8.4625
angles: 109.15 97.55 96.62
Space group P-1 (No. 2)
Inequivalent atoms, fractional coordinates:
Li (0.0000, 0.0000, 0.0000) x1
Li (0.0740, 0.3618, 0.8222) x2
Li (0.4124, 0.8056, 0.3726) x2
Fe (0.0000, 0.0000, 0.5000) x1
Fe (0.2125, 0.4091, 0.4477) x2
Sb (0.4705, 0.8871, 0.7962) x2
O (0.0833, 0.6618, 0.4122) x2
O (0.1251, 0.7111, 0.9162) x2
O (0.2024, 0.8258, 0.1052) x2
O (0.2637, 0.0941, 0.7338) x2
O (0.3449, 0.1273, 0.4131) x2



Least stable structure: version three



Version one
LiSc4Fe4O12 | PBE+U | relaxed

Total moment in μB/cell: 19.004
ρ in g/cm³: 4.092

abc: 5.1451 5.2676 9.0182
angles: 89.94 89.94 88.99
Space group P1 (No. 1)
Inequivalent atoms, fractional coordinates:
Li (0.0000, 0.0000, 0.0000) x1
Sc (0.0006, 0.8387, 0.3066) x1
Sc (0.5292, 0.3513, 0.8034) x1
Sc (0.5317, 0.3504, 0.2001) x1
Sc (0.9986, 0.8377, 0.6965) x1
Fe (0.0070, 0.3608, 0.5017) x1
Fe (0.0651, 0.4798, 0.0036) x1
Fe (0.4491, 0.9735, 0.5022) x1
Fe (0.5100, 0.8579, 0.0018) x1
O (0.2218, 0.6882, 0.5020) x1
O (0.2679, 0.1629, 0.6546) x1
O (0.2680, 0.6852, 0.8458) x1
O (0.2699, 0.1625, 0.3489) x1
O (0.2716, 0.6836, 0.1589) x1
O (0.3108, 0.1855, 0.0022) x1
O (0.6954, 0.5217, 0.0010) x1
O (0.7486, 0.0146, 0.8428) x1
O (0.7514, 0.0141, 0.1591) x1
O (0.8001, 0.5080, 0.6671) x1
O (0.8032, 0.5076, 0.3349) x1
O (0.8113, 0.0220, 0.5012) x1



Version two
LiSc4Fe4O12 | PBE+U | relaxed

Total moment in μB/cell: 14.999
ρ in g/cm³: 4.325

abc: 5.2082 5.4463 8.2490
angles: 86.34 82.49 86.52
Space group P1 (No. 1)
Inequivalent atoms, fractional coordinates:
Li (0.0000, 0.0000, 0.0000) x1
Sc (0.3455, 0.7509, 0.5875) x1
Sc (0.4488, 0.8877, 0.1515) x1
Sc (0.8814, 0.4307, 0.1371) x1
Sc (0.9194, 0.2218, 0.6633) x1
Fe (0.3498, 0.3353, 0.3498) x1
Fe (0.3976, 0.3340, 0.9100) x1
Fe (0.7850, 0.7262, 0.8039) x1
Fe (0.8819, 0.8453, 0.3839) x1
O (0.0363, 0.4114, 0.8666) x1
O (0.0715, 0.5280, 0.5144) x1
O (0.0753, 0.7352, 0.1731) x1
O (0.1092, 0.9073, 0.7756) x1
O (0.1681, 0.0341, 0.4506) x1
O (0.2242, 0.2142, 0.1172) x1
O (0.5744, 0.4647, 0.7091) x1
O (0.5817, 0.6384, 0.3394) x1
O (0.5839, 0.5818, 0.0119) x1
O (0.6413, 0.0455, 0.9252) x1
O (0.6846, 0.9350, 0.6029) x1
O (0.6994, 0.1242, 0.2567) x1



Version three
LiSc4Fe4O12 | PBE+U | relaxed

Total moment in μB/cell: 9.002
ρ in g/cm³: 4.251

abc: 5.2168 5.2881 8.5800
angles: 84.74 88.68 86.36
Space group P1 (No. 1)
Inequivalent atoms, fractional coordinates:
Li (0.0000, 0.0000, 0.0000) x1
Sc (0.3960, 0.8574, 0.7364) x1
Sc (0.5088, 0.8008, 0.1429) x1
Sc (0.9068, 0.2838, 0.6287) x1
Sc (0.9939, 0.3173, 0.2368) x1
Fe (0.4443, 0.3059, 0.9344) x1
Fe (0.4516, 0.3122, 0.4324) x1
Fe (0.9121, 0.6090, 0.8648) x1
Fe (0.9463, 0.8105, 0.4353) x1
O (0.0709, 0.6723, 0.6609) x1
O (0.1525, 0.1361, 0.4578) x1
O (0.1678, 0.1737, 0.8020) x1
O (0.2328, 0.6576, 0.9589) x1
O (0.2712, 0.5768, 0.3058) x1
O (0.2819, 0.1317, 0.1172) x1
O (0.6240, 0.5026, 0.7543) x1
O (0.6292, 0.0502, 0.5675) x1
O (0.6507, 0.9653, 0.9077) x1
O (0.7452, 0.4744, 0.0542) x1
O (0.7544, 0.4816, 0.4123) x1
O (0.8043, 0.9749, 0.2313) x1



Least stable structure: version two